[1]
Density functional theory data (GGA-PBE) for a relaxed Li12AgRh2 crystal.

abc: 5.204 5.204 21.305
angles: 90.00 90.00 120.45
Sites, in units of the cell vectors:
Li: 0.500 0.500 0.792
Li: 0.685 0.815 0.062
Li: 0.346 0.154 0.541
Li: 0.232 0.732 0.627
Li: 0.000 0.000 0.319
Li: 0.500 0.500 0.681
Li: 0.240 0.740 0.152
Li: 0.268 0.768 0.373
Li: 0.260 0.760 0.848
Li: 0.732 0.232 0.373
Li: 0.654 0.846 0.541
Li: 0.315 0.185 0.062
Li: 0.154 0.346 0.459
Li: 0.815 0.685 0.938
Li: 0.740 0.240 0.848
Li: 0.000 0.000 0.681
Li: 0.846 0.654 0.459
Li: 0.500 0.500 0.319
Li: 0.768 0.268 0.627
Li: 0.000 0.000 0.792
Li: 0.500 0.500 0.208
Li: 0.760 0.260 0.152
Li: 0.185 0.315 0.938
Li: 0.000 0.000 0.208
Ag: 0.500 0.000 0.962
Ag: 0.000 0.500 0.038
Rh: 0.500 0.000 0.734
Rh: 0.000 0.500 0.739
Rh: 0.500 0.000 0.261
Rh: 0.000 0.500 0.266

Results
ΔE_f   -33 meV/atom



[2]
Density functional theory data (GGA-PBE) for a relaxed LiAgRh crystal.

abc: 2.770 2.770 6.833
angles: 90.00 90.00 120.00
Sites, in units of the cell vectors:
Rh: 0.333 0.667 0.650
Li: 0.667 0.333 0.345
Ag: 0.000 0.000 0.005

Results
Energy above the lowest structure with this stoichiometry   0.0 meV/atom
ΔE_f   -12 meV/atom



[3]
Density functional theory data (GGA-PBE) for a relaxed Li14AgRh crystal.

abc: 5.622 5.622 9.430
angles: 90.00 90.00 112.40
Sites, in units of the cell vectors:
Li: 0.887 0.113 0.256
Li: 0.167 0.340 0.000
Li: 0.660 0.833 0.000
Li: 0.853 0.607 0.274
Li: 0.393 0.147 0.726
Li: 0.076 0.406 0.500
Li: 0.594 0.924 0.500
Li: 0.373 0.627 0.733
Li: 0.393 0.147 0.274
Li: 0.162 0.838 0.000
Li: 0.887 0.113 0.744
Li: 0.853 0.607 0.726
Li: 0.664 0.336 0.000
Li: 0.373 0.627 0.267
Rh: 0.578 0.422 0.500
Ag: 0.088 0.912 0.500

Results
ΔE_f   -36 meV/atom



[4]
Density functional theory data (GGA-PBE) for a relaxed LiAgRh crystal.

abc: 4.055 4.055 4.055
angles: 60.00 60.00 60.00
Sites, in units of the cell vectors:
Li: 0.750 0.750 0.750
Ag: 0.500 0.500 0.500
Rh: 0.000 0.000 0.000

Results
Energy above the lowest structure with this stoichiometry   407.7 meV/atom
ΔE_f   396 meV/atom



[5]
Density functional theory data (GGA-PBE) for a relaxed Li6Ag3Rh crystal.

abc: 6.652 6.652 6.652
angles: 60.00 60.00 60.00
Sites, in units of the cell vectors:
Li: 0.757 0.243 0.757
Li: 0.243 0.757 0.243
Li: 0.757 0.243 0.243
Li: 0.757 0.757 0.243
Li: 0.243 0.757 0.757
Li: 0.243 0.243 0.757
Ag: 0.250 0.250 0.250
Ag: 0.500 0.500 0.500
Ag: 0.750 0.750 0.750
Rh: 0.000 0.000 0.000

Results
ΔE_f   246 meV/atom



[6]
Density functional theory data (GGA-PBE) for a relaxed Li12Ag3Rh crystal.

abc: 4.193 4.193 14.573
angles: 90.00 90.00 90.00
Sites, in units of the cell vectors:
Li: 0.500 0.500 0.764
Li: 0.500 0.000 0.893
Li: 0.000 0.500 0.893
Li: 0.500 0.500 0.000
Li: 0.500 0.500 0.500
Li: 0.500 0.000 0.107
Li: 0.500 0.000 0.633
Li: 0.000 0.500 0.633
Li: 0.500 0.000 0.367
Li: 0.500 0.500 0.236
Li: 0.000 0.500 0.367
Li: 0.000 0.500 0.107
Ag: 0.000 0.000 0.500
Ag: 0.000 0.000 0.770
Ag: 0.000 0.000 0.230
Rh: 0.000 0.000 0.000

Results
ΔE_f   -115 meV/atom



[7]
Density functional theory data (GGA-PBE) for a relaxed Li5AgRh crystal.

abc: 4.661 4.661 10.185
angles: 88.78 88.78 78.30
Sites, in units of the cell vectors:
Ag: 0.666 0.334 0.250
Ag: 0.334 0.666 0.750
Rh: 0.000 0.000 0.000
Rh: 0.000 0.000 0.500
Li: 0.565 0.848 0.110
Li: 0.443 0.181 0.596
Li: 0.181 0.443 0.096
Li: 0.435 0.152 0.890
Li: 0.848 0.565 0.610
Li: 0.557 0.819 0.404
Li: 0.152 0.435 0.390
Li: 0.916 0.084 0.750
Li: 0.084 0.916 0.250
Li: 0.819 0.557 0.904

Results
Energy above the lowest structure with this stoichiometry   0.0 meV/atom
ΔE_f   -59 meV/atom



[8]
Density functional theory data (GGA-PBE) for a relaxed Li5AgRh crystal.

abc: 4.073 4.073 6.921
angles: 90.00 90.00 90.00
Sites, in units of the cell vectors:
Li: 0.000 0.000 0.500
Li: 0.500 0.000 0.253
Li: 0.000 0.500 0.747
Li: 0.000 0.500 0.253
Li: 0.500 0.000 0.747
Ag: 0.000 0.000 0.000
Rh: 0.500 0.500 0.500

Results
Energy above the lowest structure with this stoichiometry   37.9 meV/atom
ΔE_f   -21 meV/atom



[9]
Density functional theory data (GGA-PBE) for a relaxed Li8Ag2Rh crystal.

abc: 4.470 7.335 6.921
angles: 122.00 108.84 90.00
Sites, in units of the cell vectors:
Li: 0.359 0.158 0.718
Li: 0.641 0.842 0.282
Li: 0.000 0.313 0.000
Li: 0.359 0.560 0.718
Li: 0.000 0.687 0.000
Li: 0.128 0.128 0.257
Li: 0.641 0.440 0.282
Li: 0.872 0.872 0.743
Ag: 0.227 0.727 0.454
Ag: 0.773 0.273 0.546
Rh: 0.500 0.000 0.000

Results
Energy above the lowest structure with this stoichiometry   0.0 meV/atom
ΔE_f   -113 meV/atom



[10]
Density functional theory data (GGA-PBE) for a relaxed Li2AgRh crystal.

abc: 4.581 4.581 4.926
angles: 81.01 81.01 35.30
Sites, in units of the cell vectors:
Rh: 0.750 0.750 0.750
Li: 0.003 0.003 0.979
Li: 0.497 0.497 0.521
Ag: 0.250 0.250 0.250

Results
ΔE_f   -111 meV/atom



[11]
Density functional theory data (GGA-PBE) for a relaxed Li7Ag4Rh crystal.

abc: 4.699 7.554 6.772
angles: 60.20 69.70 71.88
Sites, in units of the cell vectors:
Li: 0.198 0.145 0.458
Li: 0.802 0.855 0.542
Li: 0.792 0.222 0.194
Li: 0.070 0.596 0.265
Li: 0.208 0.778 0.806
Li: 0.500 0.000 0.000
Li: 0.930 0.404 0.735
Ag: 0.325 0.384 0.966
Ag: 0.573 0.279 0.575
Ag: 0.427 0.721 0.425
Ag: 0.675 0.616 0.034
Rh: 0.000 0.000 0.000

Results
ΔE_f   -49 meV/atom



[12]
Density functional theory data (GGA-PBE) for a relaxed Li2AgRh crystal.

abc: 4.040 4.079 3.399
angles: 90.00 90.00 90.00
Sites, in units of the cell vectors:
Li: 0.500 0.500 0.000
Li: 0.000 0.000 0.000
Rh: 0.500 0.000 0.500
Ag: 0.000 0.500 0.500

Results
ΔE_f   -94 meV/atom